Entry 1:
Material: RbNd4Bi3O12
Method: DFT, GGA-PBE
State: optimized geometry

The structure in extended XYZ format:
```
20
Lattice="7.6772 0.0000 0.0000 -2.5591 7.2381 0.0000 -2.5591 -3.6191 6.2684" Properties=species:S:1:pos:R:3 pbc="T T T"
O 1.8433 4.1252 3.1421
O 2.5655 -1.8141 5.3917
O -0.0065 5.4332 0.8767
O 0.0065 1.9574 5.1436
O 0.7158 -0.5061 3.1263
O 3.2749 1.1647 4.2669
O 2.5526 1.6617 1.1248
O 4.4023 4.2776 1.1248
O -1.8433 -0.6586 5.1436
O 5.1246 -0.1433 2.0015
O -0.7158 2.4544 2.0015
O -2.5655 3.7623 4.2669
Bi -2.5591 1.8095 3.1342
Bi 2.5591 -1.8095 3.1342
Bi 2.5591 3.6191 0.0000
Nd -1.2795 3.6191 0.0000
Nd -1.2795 -1.8095 3.1342
Nd 1.2795 1.8095 3.1342
Nd 3.8386 0.0000 0.0000
Rb 0.0000 0.0000 0.0000
```

Results
* E: -6.664 eV/atom
* N(E_F): 8.5 states/eV/cell
* density: 7.062 g/cm3
* M_tot: 1.96 μB per cell

---

Entry 2:
Material: Rb2Nd2BiO6
Method: DFT, GGA-PBE
State: optimized geometry

The structure in extended XYZ format:
```
11
Lattice="6.2382 -0.0132 0.0934 -3.0948 5.4164 0.0934 -1.0837 -1.8628 6.6849" Properties=species:S:1:pos:R:3 pbc="T T T"
O 1.4808 -0.9971 4.5286
O 0.5789 4.5374 2.3431
O 0.4640 0.7976 2.2306
O 3.6583 2.7459 2.3431
O 1.5956 2.7427 4.6411
O -1.5986 0.7944 4.5286
Rb 4.7061 0.8781 0.0934
Rb -1.5627 4.5251 0.0934
Bi -0.5419 -0.9314 3.3425
Nd -0.5131 2.6678 3.4359
Nd 2.5728 0.8725 3.4359
```

Results
* E: -6.239 eV/atom
* N(E_F): 3.9 states/eV/cell
* density: 5.573 g/cm3
* M_tot: 0.83 μB per cell

---

Entry 3:
Material: Rb3Nd3BiO8
Method: DFT, GGA-PBE
State: optimized geometry

The structure in extended XYZ format:
```
15
Lattice="7.2463 -0.0003 0.0003 -3.6234 6.2757 -0.0240 0.0004 -4.1610 6.6996" Properties=species:S:1:pos:R:3 pbc="T T T"
O 0.0000 2.0985 2.1661
O 0.0004 -0.0786 4.5065
O 3.6233 0.0158 4.5098
O -1.8932 3.2012 4.4939
O 3.6229 2.1929 2.1694
O 5.5165 -1.0869 2.1820
O 1.8933 3.2009 4.4941
O 1.7300 -1.0865 2.1819
Rb 0.0000 0.0000 0.0000
Rb -1.8117 3.1378 -0.0120
Rb 1.8114 3.1377 -0.0118
Nd 1.8116 1.0572 3.3380
Nd 3.6234 -2.0807 3.3499
Nd -1.8115 1.0573 3.3378
Bi 0.0002 -2.0805 3.3498
```

Results
* E: -6.319 eV/atom
* N(E_F): 2.4 states/eV/cell
* density: 5.606 g/cm3
* M_tot: 0.00 μB per cell